# 1
PmPaNi2 | PBE-GGA | relaxed

a = 6.2918 Å, b = 4.2865 Å, c = 6.3096 Å
α = 90.00°, β = 114.36°, γ = 90.00°
Space group P2_1/m (No. 11)
Inequivalent atoms, fractional coordinates:
Pm 0.1130 0.2500 0.3853 x2
Pa 0.4039 0.7500 0.0970 x2
Ni 0.1128 0.2500 0.9446 x2
Ni 0.4436 0.7500 0.6128 x2

Summary:
The calculation puts the offset from the most stable computed form at 0.0 meV/atom. The density comes out at 10.571 g/cm³. The value obtained for the formation energy from the elements is -0.288 eV per atom.

=====

# 2
Cr2Pb | PBE-GGA | relaxed

a = 7.2891 Å, b = 7.2891 Å, c = 4.1498 Å
α = 90.00°, β = 90.00°, γ = 120.00°
Space group P-62m (No. 189)
Inequivalent atoms, fractional coordinates:
Cr 0.0000 0.2550 0.0000 x3
Cr 0.0000 0.5851 0.5000 x3
Pb 0.0000 0.0000 0.5000 x1
Pb 0.3333 0.6667 0.0000 x2

Summary:
The calculation puts the offset from the most stable computed form at 438.7 meV/atom. The density comes out at 8.119 g/cm³. The value obtained for the formation energy from the elements is 0.870 eV per atom.

=====

# 3
K2Mn | PBE-GGA | relaxed

a = 16.8649 Å, b = 7.7990 Å, c = 4.8977 Å
α = 90.00°, β = 90.00°, γ = 90.00°
Space group Cmcm (No. 63)
Inequivalent atoms, fractional coordinates:
K 0.1366 0.2371 0.2500 x8
Mn 0.0000 0.4287 0.7500 x4

Summary:
The calculation puts the offset from the most stable computed form at 36.5 meV/atom. The density comes out at 1.373 g/cm³. The value obtained for the formation energy from the elements is 0.701 eV per atom.

=====

# 4
Ga2Ag2P | PBE-GGA | relaxed

a = 3.7043 Å, b = 3.7043 Å, c = 13.6356 Å
α = 90.00°, β = 90.00°, γ = 90.00°
Space group I4/mmm (No. 139)
Inequivalent atoms, fractional coordinates:
Ga 0.0000 0.5000 0.2500 x4
Ag 0.0000 0.0000 0.0994 x4
P 0.0000 0.0000 0.5000 x2

Summary:
The calculation puts the offset from the most stable computed form at 39.4 meV/atom. The density comes out at 6.854 g/cm³. The value obtained for the formation energy from the elements is 0.320 eV per atom.

=====

# 5
YSc2Ga6 | PBE-GGA | relaxed

a = 4.1700 Å, b = 6.8365 Å, c = 12.8057 Å
α = 90.00°, β = 90.00°, γ = 90.00°
Space group Immm (No. 71)
Inequivalent atoms, fractional coordinates:
Y 0.0000 0.0000 0.0000 x2
Sc 0.0000 0.5000 0.1216 x4
Ga 0.0000 0.1850 0.5000 x4
Ga 0.0000 0.3034 0.3103 x8

Summary:
The calculation puts the offset from the most stable computed form at 72.7 meV/atom. The density comes out at 5.432 g/cm³. The value obtained for the formation energy from the elements is -0.494 eV per atom.

=====

# 6
AlInI5 | PBE-GGA | relaxed

a = 8.0284 Å, b = 8.5280 Å, c = 11.6003 Å
α = 111.03°, β = 107.59°, γ = 92.92°
Space group P-1 (No. 2)
Inequivalent atoms, fractional coordinates:
Al 0.0721 0.3668 0.2292 x2
In 0.5000 0.0000 0.5000 x1
In 0.5000 0.5000 0.0000 x1
I 0.1595 0.6671 0.4065 x2
I 0.1608 0.1379 0.3178 x2
I 0.1725 0.3146 0.0272 x2
I 0.2740 0.7229 0.8710 x2
I 0.3984 0.2235 0.7570 x2

Summary:
The density comes out at 3.708 g/cm³. As for the total energy: -36.1 eV per cell.

=====

# 7
MnRe3N | PBE-GGA | relaxed

a = 4.0101 Å, b = 4.0101 Å, c = 4.0101 Å
α = 90.00°, β = 90.00°, γ = 90.00°
Space group Pm-3m (No. 221)
Inequivalent atoms, fractional coordinates:
Mn 0.0000 0.0000 0.0000 x1
Re 0.0000 0.5000 0.5000 x3
N 0.5000 0.5000 0.5000 x1

Summary:
The calculation puts the offset from the most stable computed form at 0.0 meV/atom. The density comes out at 16.160 g/cm³.

=====

# 8
LaEr2CdHg4 | PBE-GGA | relaxed

a = 5.0847 Å, b = 5.0847 Å, c = 27.9112 Å
α = 90.00°, β = 90.00°, γ = 120.00°
Space group R-3m (No. 166, hexagonal axes)
Inequivalent atoms, fractional coordinates:
La 0.0000 0.0000 0.0000 x3
Er 0.0000 0.0000 0.2376 x6
Cd 0.0000 0.0000 0.5000 x3
Hg 0.0000 0.0000 0.1243 x6
Hg 0.0000 0.0000 0.3844 x6

Summary:
The density comes out at 11.066 g/cm³. The value obtained for the formation energy from the elements is -0.401 eV per atom.

=====

# 9
Hf4TiPb2 | PBE-GGA | relaxed

a = 7.5278 Å, b = 5.9830 Å, c = 7.8358 Å
α = 90.00°, β = 115.64°, γ = 90.00°
Space group P2_1/m (No. 11)
Inequivalent atoms, fractional coordinates:
Hf 0.0152 0.2500 0.0046 x2
Hf 0.1482 0.5010 0.7249 x4
Hf 0.2833 0.2500 0.4356 x2
Ti 0.4106 0.7500 0.1439 x2
Pb 0.2518 0.7500 0.4190 x2
Pb 0.4380 0.2500 0.1269 x2

Summary:
The density comes out at 12.277 g/cm³. The value obtained for the formation energy from the elements is 0.097 eV per atom.

=====

# 10
Mn2V2Rh3 | PBE-GGA | relaxed

a = 3.8904 Å, b = 18.0184 Å, c = 2.7307 Å
α = 90.00°, β = 90.00°, γ = 90.00°
Space group Cmmm (No. 65)
Inequivalent atoms, fractional coordinates:
Mn 0.0000 0.0688 0.0000 x4
V 0.0000 0.2087 0.0000 x4
Rh 0.0000 0.3458 0.5000 x4
Rh 0.0000 0.5000 0.5000 x2

Summary:
The density comes out at 9.030 g/cm³. The value obtained for the formation energy from the elements is -0.108 eV per atom.

=====

# 11
SrFeTe | PBE-GGA | relaxed

a = 4.4592 Å, b = 4.4592 Å, c = 4.5483 Å
α = 90.00°, β = 90.00°, γ = 120.00°
Space group P-6m2 (No. 187)
Inequivalent atoms, fractional coordinates:
Sr 0.0000 0.0000 0.0000 x1
Fe 0.3333 0.6667 0.5000 x1
Te 0.6667 0.3333 0.5000 x1

Summary:
The calculation puts the offset from the most stable computed form at 0.0 meV/atom. The density comes out at 5.747 g/cm³.

=====

# 12
BPb2S4 | PBE-GGA | relaxed

a = 6.4224 Å, b = 6.4188 Å, c = 8.1119 Å
α = 90.00°, β = 110.42°, γ = 90.00°
Space group P2_1/m (No. 11)
Inequivalent atoms, fractional coordinates:
B 0.2122 0.2500 0.2846 x2
Pb 0.2360 0.7500 0.5498 x2
Pb 0.2734 0.7500 0.0841 x2
S 0.0148 0.0138 0.2320 x4
S 0.3716 0.2500 0.5366 x2
S 0.4011 0.2500 0.1455 x2

Summary:
The density comes out at 5.865 g/cm³. As for the total energy: -65.8 eV per cell.

=====

# 13
Sc2AsIrS | PBE-GGA | relaxed

a = 4.7970 Å, b = 4.7970 Å, c = 4.3610 Å
α = 90.00°, β = 90.00°, γ = 90.00°
Space group P4/mmm (No. 123)
Inequivalent atoms, fractional coordinates:
Sc 0.0000 0.5000 0.0000 x2
As 0.0000 0.0000 0.5000 x1
Ir 0.5000 0.5000 0.5000 x1
S 0.5000 0.5000 0.0000 x1

Summary:
The density comes out at 6.439 g/cm³. As for the total energy: -32.9 eV per cell.

=====

# 14
PuAgAsO6 | PBE-GGA | relaxed

a = 5.3398 Å, b = 5.3398 Å, c = 10.0046 Å
α = 90.00°, β = 90.00°, γ = 120.00°
Space group P-31c (No. 163)
Inequivalent atoms, fractional coordinates:
Pu 0.3333 0.6667 0.2500 x2
Ag 0.0000 0.0000 0.0000 x2
As 0.3333 0.6667 0.7500 x2
O 0.0303 0.3832 0.6447 x12

Summary:
The density comes out at 7.028 g/cm³. As for the total energy: -129.1 eV per cell.

=====

# 15
PmNd5Dy2Sc | PBE-GGA | relaxed

a = 5.3933 Å, b = 21.9834 Å, c = 10.2837 Å
α = 90.00°, β = 90.00°, γ = 90.00°
Space group Cmc2_1 (No. 36)
Inequivalent atoms, fractional coordinates:
Pm 0.0000 0.1013 0.0000 x4
Nd 0.0000 0.0000 0.2501 x4
Nd 0.0000 0.1261 0.5002 x4
Nd 0.0000 0.2213 0.1883 x4
Nd 0.0000 0.2217 0.8126 x4
Nd 0.0000 0.4984 0.0001 x4
Dy 0.0000 0.3835 0.2508 x4
Dy 0.0000 0.3837 0.7494 x4
Sc 0.0000 0.2848 0.5004 x4

Summary:
The density comes out at 6.734 g/cm³. The value obtained for the formation energy from the elements is 0.127 eV per atom.

=====

# 16
Li7CrN4 | PBE-GGA | relaxed

a = 9.5862 Å, b = 9.5862 Å, c = 9.5862 Å
α = 90.00°, β = 90.00°, γ = 90.00°
Space group P-43n (No. 218)
Inequivalent atoms, fractional coordinates:
Li 0.0000 0.0000 0.2631 x12
Li 0.0000 0.0000 0.5000 x6
Li 0.0000 0.2500 0.5000 x6
Li 0.0185 0.2386 0.7482 x24
Li 0.2322 0.2322 0.2322 x8
Cr 0.0000 0.0000 0.0000 x2
Cr 0.0000 0.5000 0.2500 x6
N 0.1072 0.3835 0.3570 x24
N 0.1094 0.1094 0.1094 x8

Summary:
The density comes out at 2.362 g/cm³. As for the total energy: -510.7 eV per cell.

=====

# 17
CoAg2H6Pt | PBE-GGA | relaxed

a = 6.9171 Å, b = 6.9201 Å, c = 4.8235 Å
α = 90.00°, β = 134.11°, γ = 90.00°
Space group C2/m (No. 12)
Inequivalent atoms, fractional coordinates:
Co 0.0000 0.0000 0.0000 x2
Ag 0.0000 0.2414 0.5000 x4
H 0.0000 0.2399 0.0000 x4
H 0.2457 0.0000 0.4792 x4
H 0.2487 0.0000 0.0180 x4
Pt 0.0000 0.5000 0.0000 x2

Summary:
The density comes out at 9.532 g/cm³. As for the total energy: -74.4 eV per cell.

=====

# 18
La4ErTm5 | PBE-GGA | relaxed

a = 17.0349 Å, b = 3.5132 Å, c = 11.4431 Å
α = 90.00°, β = 90.07°, γ = 90.00°
Space group C2/m (No. 12)
Inequivalent atoms, fractional coordinates:
La 0.0342 0.0000 0.2496 x4
La 0.1654 0.5000 0.7496 x4
Er 0.0000 0.5000 0.5000 x2
Tm 0.0000 0.5000 0.0000 x2
Tm 0.1720 0.0000 0.0444 x4
Tm 0.1723 0.0000 0.4545 x4

Summary:
The calculation puts the offset from the most stable computed form at 0.0 meV/atom. The density comes out at 7.602 g/cm³. The value obtained for the formation energy from the elements is 0.200 eV per atom.

=====

# 19
Cs4KAu5 | PBE-GGA | relaxed

a = 4.2973 Å, b = 4.2973 Å, c = 21.1532 Å
α = 90.00°, β = 90.00°, γ = 90.00°
Space group P4/mmm (No. 123)
Inequivalent atoms, fractional coordinates:
Cs 0.0000 0.0000 0.1036 x2
Cs 0.0000 0.0000 0.3113 x2
K 0.0000 0.0000 0.5000 x1
Au 0.5000 0.5000 0.0000 x1
Au 0.5000 0.5000 0.2073 x2
Au 0.5000 0.5000 0.4235 x2

Summary:
The density comes out at 6.613 g/cm³. The value obtained for the formation energy from the elements is -0.315 eV per atom.